# TcClO | the Alexandria database | PBE | relaxed
data_TcClO
_chemical_formula_sum 'Tc4 Cl4 O4'
_symmetry_space_group_name_H-M 'P 1'
_symmetry_Int_Tables_number 1
_cell_length_a 6.026
_cell_length_b 5.450
_cell_length_c 6.065
_cell_angle_alpha 90.00
_cell_angle_beta 119.79
_cell_angle_gamma 90.00
loop_
_symmetry_equiv_pos_as_xyz
'x,y,z'
loop_
_atom_site_label
_atom_site_fract_x
_atom_site_fract_y
_atom_site_fract_z
Tc1 0.030 0.000 0.313
Tc2 0.467 0.500 0.686
Tc3 0.533 0.000 0.314
Tc4 0.970 0.500 0.687
Cl1 0.115 0.150 0.980
Cl2 0.386 0.650 0.022
Cl3 0.614 0.150 0.978
Cl4 0.885 0.650 0.020
O1 0.127 0.314 0.505
O2 0.372 0.815 0.494
O3 0.628 0.315 0.506
O4 0.873 0.814 0.495
# V ... 173 Å³ per cell
# Calculated density ... 5.7 g cm⁻³
# Space group ... P2_1
# Calculated total energy ... -6.377 eV/atom

=====

# TcClO2 | the Alexandria database | PBE | relaxed
data_TcClO2
_chemical_formula_sum 'Tc3 Cl3 O6'
_symmetry_space_group_name_H-M 'P 1'
_symmetry_Int_Tables_number 1
_cell_length_a 2.784
_cell_length_b 2.784
_cell_length_c 25.713
_cell_angle_alpha 90.00
_cell_angle_beta 90.00
_cell_angle_gamma 120.00
loop_
_symmetry_equiv_pos_as_xyz
'x,y,z'
loop_
_atom_site_label
_atom_site_fract_x
_atom_site_fract_y
_atom_site_fract_z
Tc1 0.000 0.000 0.000
Tc2 0.333 0.667 0.667
Tc3 0.667 0.333 0.333
Cl1 0.000 0.000 0.500
Cl2 0.333 0.667 0.167
Cl3 0.667 0.333 0.833
O1 0.000 0.000 0.382
O2 0.000 0.000 0.618
O3 0.333 0.667 0.049
O4 0.333 0.667 0.285
O5 0.667 0.333 0.715
O6 0.667 0.333 0.951
# ΔE to the lowest computed polymorph ... 0.333 eV per atom
# V ... 173 Å³ per cell
# Calculated density ... 4.8 g cm⁻³
# Space group ... R-3m

=====

# TcClO2 | the Alexandria database | PBE | relaxed
data_TcClO2
_chemical_formula_sum 'Tc4 Cl4 O8'
_symmetry_space_group_name_H-M 'P 1'
_symmetry_Int_Tables_number 1
_cell_length_a 5.416
_cell_length_b 5.635
_cell_length_c 11.305
_cell_angle_alpha 90.00
_cell_angle_beta 118.62
_cell_angle_gamma 90.00
loop_
_symmetry_equiv_pos_as_xyz
'x,y,z'
loop_
_atom_site_label
_atom_site_fract_x
_atom_site_fract_y
_atom_site_fract_z
Tc1 0.181 0.000 0.431
Tc2 0.181 0.500 0.931
Tc3 0.819 0.000 0.569
Tc4 0.819 0.500 0.069
Cl1 0.174 0.248 0.249
Cl2 0.174 0.252 0.749
Cl3 0.826 0.748 0.251
Cl4 0.826 0.752 0.751
O1 0.110 0.674 0.054
O2 0.110 0.826 0.554
O3 0.497 0.175 0.553
O4 0.497 0.325 0.053
O5 0.503 0.675 0.947
O6 0.503 0.825 0.447
O7 0.890 0.174 0.446
O8 0.890 0.326 0.946
# ΔE to the lowest computed polymorph ... 0.000 eV per atom
# V ... 303 Å³ per cell
# Calculated density ... 3.6 g cm⁻³
# Space group ... P2_1/c

=====

# Tc2ClO | the Alexandria database | PBE | relaxed
data_Tc2ClO
_chemical_formula_sum 'Tc8 Cl4 O4'
_symmetry_space_group_name_H-M 'P 1'
_symmetry_Int_Tables_number 1
_cell_length_a 5.782
_cell_length_b 5.782
_cell_length_c 5.782
_cell_angle_alpha 90.00
_cell_angle_beta 90.00
_cell_angle_gamma 90.00
loop_
_symmetry_equiv_pos_as_xyz
'x,y,z'
loop_
_atom_site_label
_atom_site_fract_x
_atom_site_fract_y
_atom_site_fract_z
Tc1 0.250 0.250 0.250
Tc2 0.250 0.250 0.750
Tc3 0.250 0.750 0.250
Tc4 0.250 0.750 0.750
Tc5 0.750 0.250 0.250
Tc6 0.750 0.250 0.750
Tc7 0.750 0.750 0.250
Tc8 0.750 0.750 0.750
Cl1 0.000 0.000 0.000
Cl2 0.000 0.500 0.500
Cl3 0.500 0.000 0.500
Cl4 0.500 0.500 0.000
O1 0.000 0.000 0.500
O2 0.000 0.500 0.000
O3 0.500 0.000 0.000
O4 0.500 0.500 0.500
# ΔE to the lowest computed polymorph ... 0.637 eV per atom
# V ... 193 Å³ per cell
# Calculated density ... 8.5 g cm⁻³
# Space group ... Fm-3m